HgH6N2F2: optimized geometry, PBE.

Lattice parameters (Å, degrees): 6.1969 4.0165 5.8783 109.23 99.48 50.44
Last column: nearest neighbours and their distance in Å.
Element x y z (fractional)
Hg  0.5000  0.0000  0.5000  2 N 2.10
H  0.2333  0.4903  0.9396  1 N 1.05
H  0.9649  0.6168  0.2530  1 N 1.05
H  0.0410  0.7914  0.7425  1 N 1.05
H  0.0351  0.3832  0.7470  1 N 1.05
H  0.9590  0.2086  0.2575  1 N 1.05
H  0.7667  0.5097  0.0604  1 N 1.05
N  0.1668  0.4682  0.7637  3 H 1.05
N  0.8332  0.5318  0.2363  3 H 1.05
F  0.7747  0.3473  0.7451  3 H 1.71-1.75
F  0.2253  0.6527  0.2549  3 H 1.71-1.75

* calculated volume: 9.7 A^3/atom
* crystal system: triclinic
* space-group type: P-1 (2)
* total energy: -4.52 eV per atom
* total magnetization: 0.0 μB per formula unit